An optimized crystal structure of CsNaPt, computed with PBE.

Output
Formation energy from the elements in eV/atom: -0.026
Crystal system: monoclinic
Relative energy among the computed polymorphs in meV per atom: 0
Density in g/cm³: 4.328

Unit cell a=4.4245 b=4.4246 c=15.8868 alpha=90.00 beta=90.02 gamma=60.00
Fractional positions:
Cs  0.2964  0.6436  0.4468
Cs  0.2957  0.6440  0.1347
Na  0.6280  0.9811  0.7069
Na  0.9601  0.3154  0.8746
Pt  0.6294  0.9771  0.2908
Pt  0.9628  0.3104  0.2908